# Na2SiBiBO7 | Alexandria | PBE | optimized geometry
data_Na2SiBiBO7
_chemical_formula_sum 'Na4 Si2 Bi2 B2 O14'
_space_group_name_H-M_alt 'P 1 21/m 1'
_space_group_IT_number 11
_space_group_name_Hall '-P 2yb'
_cell_length_a 5.485
_cell_length_b 6.859
_cell_length_c 9.682
_cell_angle_alpha 90.00
_cell_angle_beta 93.71
_cell_angle_gamma 90.00
loop_
_atom_site_label
_atom_site_fract_x
_atom_site_fract_y
_atom_site_fract_z
_atom_site_occupancy
Na1 0.239 0.001 0.310 1
Si1 0.265 0.250 0.932 1
Bi1 0.214 0.750 0.852 1
B1 0.266 0.750 0.583 1
O1 0.038 0.750 0.645 1
O2 0.154 0.250 0.086 1
O3 0.173 0.062 0.838 1
O4 0.304 0.750 0.450 1
O5 0.430 0.750 0.044 1
O6 0.464 0.750 0.691 1
# Formation energy without anion corrections   -1.8741 eV per atom



# NaBiB2P | Alexandria | PBE | optimized geometry
data_NaBiB2P
_chemical_formula_sum 'Na1 Bi1 B2 P1'
_space_group_name_H-M_alt 'P 4/m m m'
_space_group_IT_number 123
_space_group_name_Hall '-P 4 2'
_cell_length_a 4.097
_cell_length_b 4.097
_cell_length_c 5.617
_cell_angle_alpha 90.00
_cell_angle_beta 90.00
_cell_angle_gamma 90.00
loop_
_atom_site_label
_atom_site_fract_x
_atom_site_fract_y
_atom_site_fract_z
_atom_site_occupancy
Na1 0.000 0.000 0.000 1
Bi1 0.500 0.500 0.000 1
B1 0.000 0.500 0.500 1
P1 0.500 0.500 0.500 1
# Energy of formation from the pure elements   1150.5 meV per atom



# NaBiB2Pd | Alexandria | PBE | optimized geometry
data_NaBiB2Pd
_chemical_formula_sum 'Na1 Bi1 B2 Pd1'
_space_group_name_H-M_alt 'P 4/m m m'
_space_group_IT_number 123
_space_group_name_Hall '-P 4 2'
_cell_length_a 4.739
_cell_length_b 4.739
_cell_length_c 5.639
_cell_angle_alpha 90.00
_cell_angle_beta 90.00
_cell_angle_gamma 90.00
loop_
_atom_site_label
_atom_site_fract_x
_atom_site_fract_y
_atom_site_fract_z
_atom_site_occupancy
Na1 0.000 0.000 0.000 1
Bi1 0.000 0.000 0.500 1
B1 0.000 0.500 0.500 1
Pd1 0.500 0.500 0.000 1
# Energy of formation from the pure elements   1892.7 meV per atom



# Na3BiB2Pd9 | Alexandria | PBE | optimized geometry
data_Na3BiB2Pd9
_chemical_formula_sum 'Na3 Bi1 B2 Pd9'
_space_group_name_H-M_alt 'P -3 m 1'
_space_group_IT_number 164
_space_group_name_Hall '-P 3 2"'
_cell_length_a 5.8645
_cell_length_b 5.8645
_cell_length_c 9.1621
_cell_angle_alpha 90.00
_cell_angle_beta 90.00
_cell_angle_gamma 120.00
loop_
_atom_site_label
_atom_site_fract_x
_atom_site_fract_y
_atom_site_fract_z
_atom_site_occupancy
Na1 0.0000 0.0000 0.0000 1
Na2 0.3333 0.6667 0.6450 1
Bi1 0.0000 0.0000 0.5000 1
B1 0.3333 0.6667 0.1418 1
Pd1 0.0000 0.5000 0.0000 1
Pd2 0.1625 0.3249 0.2609 1
# Energy of formation from the pure elements   -221.1 meV per atom



The calculation returns the following D(E_F) values, one per record and in order: 0.277 0.552 0.649 0.266 states/eV per atom.
The calculation returns the following magnetic moment values, one per record and in order: 0.12 0.00 0.00 0.00 μB per cell.